## Na2LaAsPd (PBE)

Data for an optimized crystal structure of Na2LaAsPd.

```
Na2LaAsPd
1.0
-0.815 -3.329 5.555
6.092 -2.294 -0.480
1.814 4.232 2.802
Pd La As Na
1 1 1 2
direct
0.500 0.500 0.500
0.000 0.000 0.000
0.000 0.000 0.500
0.000 0.500 0.000
0.500 0.000 0.000
```

## Properties
Electronic total energy in eV/atom: -2.65
Total moment in μB per cell: 0.0
Space group: P4/mmm, No. 123